Record 1
{"formula": "NdSnI", "functional": "PBE-GGA", "state": "relaxed", "cell": [[4.470, 0.000, 0.000], [0.000, 13.588, 0.694], [0.000, -4.482, 7.432]], "species": ["I", "I", "Sn", "Sn", "Nd", "I", "Sn", "Nd", "Sn", "I", "Nd", "Nd"], "fractional_positions": [[0.749, 0.647, 0.239], [0.251, 0.353, 0.761], [0.750, 0.079, 0.558], [0.250, 0.921, 0.442], [0.250, 0.161, 0.369], [0.249, 0.353, 0.261], [0.750, 0.079, 0.058], [0.750, 0.839, 0.631], [0.250, 0.921, 0.942], [0.751, 0.647, 0.739], [0.750, 0.839, 0.131], [0.250, 0.161, 0.869]], "m_tot_mub_per_fu": 0.0, "crystal_system": "monoclinic", "e_tot_ev_per_atom": -4.376, "mass_density_g_cm3": 5.6, "e_form_raw_ev_per_atom": -0.94, "sg": "P2_1/c (14)"}

***

Record 2
{"formula": "K4Rb2Te", "functional": "PBE-GGA", "state": "relaxed", "cell": [[6.690, 0.000, 0.000], [0.000, 6.690, 0.000], [3.345, 3.345, 12.519]], "species": ["K", "K", "K", "Rb", "Rb", "Te", "K"], "fractional_positions": [[0.135, 0.135, 0.730], [0.500, 0.000, 0.000], [0.000, 0.500, 0.000], [0.316, 0.316, 0.369], [0.684, 0.684, 0.631], [0.000, 0.000, 0.000], [0.865, 0.865, 0.270]], "m_tot_mub_per_fu": 0.0, "crystal_system": "tetragonal", "e_tot_ev_per_atom": -1.689, "mass_density_g_cm3": 1.3, "e_form_raw_ev_per_atom": -0.34, "sg": "I4/mmm (139)"}

***

Record 3
{"formula": "LiAl2", "functional": "PBE-GGA", "state": "relaxed", "cell": [[0.000, 4.796, 4.796], [4.796, 0.000, 4.796], [4.796, 4.796, 0.000]], "species": ["Al", "Li", "Al", "Al", "Al", "Al", "Al", "Al", "Li", "Li", "Li", "Al"], "fractional_positions": [[0.850, 0.850, 0.449], [0.625, 0.125, 0.125], [0.801, 0.400, 0.400], [0.400, 0.400, 0.801], [0.400, 0.400, 0.400], [0.449, 0.850, 0.850], [0.850, 0.850, 0.850], [0.850, 0.449, 0.850], [0.125, 0.125, 0.625], [0.125, 0.625, 0.125], [0.125, 0.125, 0.125], [0.400, 0.801, 0.400]], "m_tot_mub_per_fu": 0.0, "crystal_system": "cubic", "e_tot_ev_per_atom": -2.920, "ef_mev_per_atom": 213, "mass_density_g_cm3": 1.8, "polymorph_energy_mev_per_atom": 322.4, "sg": "Fd-3m (227)"}

***

Record 4
{"formula": "LiCoHg2Rh", "functional": "PBE-GGA", "state": "relaxed", "cell": [[4.529, 0.000, 0.000], [0.000, 4.029, 0.000], [0.000, 0.000, 4.529]], "species": ["Hg", "Li", "Hg", "Rh", "Co"], "fractional_positions": [[0.500, 0.000, 0.000], [0.000, 0.000, 0.000], [0.000, 0.000, 0.500], [0.500, 0.500, 0.500], [0.000, 0.500, 0.000]], "m_tot_mub_per_fu": 1.1, "crystal_system": "tetragonal", "e_tot_ev_per_atom": -2.620, "ef_mev_per_atom": 775, "mass_density_g_cm3": 11.5, "sg": "P4/mmm (123)"}

***

Record 5
{"formula": "AsSeS", "functional": "PBE-GGA", "state": "relaxed", "cell": [[8.126, 0.000, 0.000], [0.000, 6.699, 0.452], [0.000, -2.321, 7.143]], "species": ["S", "Se", "S", "As", "As", "S", "Se", "S", "Se", "Se", "As", "As"], "fractional_positions": [[0.759, 0.155, 0.202], [0.566, 0.615, 0.157], [0.259, 0.845, 0.798], [0.948, 0.270, 0.430], [0.994, 0.724, 0.788], [0.912, 0.622, 0.492], [0.826, 0.214, 0.712], [0.412, 0.378, 0.508], [0.066, 0.385, 0.843], [0.326, 0.786, 0.288], [0.494, 0.276, 0.212], [0.448, 0.730, 0.570]], "m_tot_mub_per_fu": 0.0, "crystal_system": "monoclinic", "e_tot_ev_per_atom": -4.143, "mass_density_g_cm3": 3.1, "polymorph_energy_mev_per_atom": 0.0, "e_form_raw_ev_per_atom": -0.06, "sg": "P2_1 (4)"}

***

Record 6
{"formula": "Re3HW", "functional": "PBE-GGA", "state": "relaxed", "cell": [[4.768, 0.000, 0.000], [0.000, 4.768, 0.000], [0.000, 0.000, 4.768]], "species": ["Re", "Re", "H", "Re", "W"], "fractional_positions": [[0.500, 0.000, 0.000], [0.000, 0.000, 0.500], [0.500, 0.500, 0.500], [0.000, 0.500, 0.000], [0.000, 0.000, 0.000]], "m_tot_mub_per_fu": 3.0, "crystal_system": "cubic", "e_tot_ev_per_atom": -7.688, "mass_density_g_cm3": 11.4, "polymorph_energy_mev_per_atom": 2876.7, "sg": "Pm-3m (221)"}

***

Record 7
{"formula": "Ti2As2I", "functional": "PBE-GGA", "state": "relaxed", "cell": [[7.553, 0.000, 0.000], [0.000, 7.553, 0.000], [0.000, 0.000, 3.392]], "species": ["As", "As", "Ti", "Ti", "As", "Ti", "I", "Ti", "I", "As"], "fractional_positions": [[0.635, 0.865, 0.500], [0.135, 0.635, 0.500], [0.857, 0.643, 0.000], [0.357, 0.857, 0.000], [0.865, 0.365, 0.500], [0.643, 0.143, 0.000], [0.500, 0.500, 0.000], [0.143, 0.357, 0.000], [0.000, 0.000, 0.000], [0.365, 0.135, 0.500]], "m_tot_mub_per_fu": 0.0, "crystal_system": "tetragonal", "e_tot_ev_per_atom": -5.829, "mass_density_g_cm3": 6.4, "e_form_raw_ev_per_atom": -0.50, "sg": "P4/mbm (127)"}

***

Record 8
{"formula": "Ac4Sm5", "functional": "PBE-GGA", "state": "relaxed", "cell": [[3.719, 0.008, 0.895], [1.159, 9.360, 3.244], [-0.437, 0.252, 9.961]], "species": ["Sm", "Sm", "Ac", "Sm", "Ac", "Sm", "Ac", "Sm", "Ac"], "fractional_positions": [[0.000, 0.990, 0.010], [0.337, 0.997, 0.330], [0.337, 0.664, 0.661], [0.000, 0.333, 0.667], [0.337, 0.327, 0.998], [0.663, 0.670, 0.003], [0.663, 0.339, 0.336], [0.000, 0.677, 0.323], [0.663, 0.002, 0.673]], "m_tot_mub_per_fu": 0.0, "crystal_system": "orthorhombic", "e_tot_ev_per_atom": -4.404, "ef_mev_per_atom": 44, "mass_density_g_cm3": 7.9, "sg": "Immm (71)"}